# 1
A plane-wave DFT calculation with PBE was carried out for a relaxed structure of NaTcWAu2.

DOS at the Fermi energy, states/eV/f.u.: 4.37
Calculated formation energy, eV per atom: 1.9548
Symmetry: P4/mmm
Energy above the most stable polymorph in this dataset, meV/atom: 0
Magnetization, μB per atom: 0.99
Raw total energy, eV/atom: -4.2838

Cell: 5.0081 5.2377 5.0081 Å, 90.00 90.00 90.00°
Site moments in Bohr magnetons follow the coordinates.
Fractional positions:
Na1 0.0000 0.5000 0.0000  0.02
Au1 0.0000 0.0000 0.5000  0.04
Au2 0.5000 0.0000 0.0000  0.03
Tc1 0.5000 0.5000 0.5000  3.65
W1 0.0000 0.0000 0.0000  0.63

=====

# 2
A plane-wave DFT calculation with PBE was carried out for a relaxed structure of La2FeCuN.

ΔE_f (raw), eV per atom: -0.56
DOS at the Fermi energy, states/eV/f.u.: 2.23
Symmetry: P4/mmm
Magnetization, μB per atom: 0.00
Raw total energy, eV/atom: -6.7034

Cell: 5.2314 5.2314 3.5912 Å, 90.00 90.00 90.00°
Fractional positions:
N1 0.0000 0.0000 0.0000
Fe1 0.0000 0.0000 0.5000
Cu1 0.5000 0.5000 0.5000
La1 0.0000 0.5000 0.0000
La2 0.5000 0.0000 0.0000

=====

# 3
A plane-wave DFT calculation with PBE was carried out for a relaxed structure of RbBeBr3.

ΔE_f (raw), eV per atom: -1.34
DOS at the Fermi energy, states/eV/f.u.: 0.00
Symmetry: Cm
Energy above the most stable polymorph in this dataset, meV/atom: 0
Magnetization, μB per atom: 0.00
Raw total energy, eV/atom: -3.2865

Cell: 5.8993 7.6772 7.6762 Å, 75.67 85.18 85.19°
Fractional positions:
Rb1 0.9900 0.1241 0.5631
Rb2 0.4954 0.7797 0.2185
Be1 0.7420 0.6078 0.7361
Be2 0.7420 0.2968 0.0464
Br1 0.5484 0.3581 0.7965
Br2 0.9362 0.5464 0.9858
Br3 0.5171 0.2808 0.2859
Br4 0.5171 0.8471 0.7209
Br5 0.9676 0.0576 0.0613
Br6 0.9675 0.6235 0.4967

=====

# 4
A plane-wave DFT calculation with PBE was carried out for a relaxed structure of KMnOs4.

DOS at the Fermi energy, states/eV/f.u.: 7.19
Calculated formation energy, eV per atom: 1.0320
Symmetry: F-43m
Magnetization, μB per atom: 0.47
Raw total energy, eV/atom: -8.1657

Cell: 5.2883 5.2883 5.2883 Å, 60.00 60.00 60.00°
Site moments in Bohr magnetons follow the coordinates.
Fractional positions:
K1 0.7500 0.7500 0.7500  0.01
Mn1 0.0000 0.0000 0.0000  3.97
Os1 0.8769 0.3744 0.3744  -0.33
Os2 0.3744 0.3744 0.8769  -0.33
Os3 0.3744 0.8769 0.3744  -0.33
Os4 0.3744 0.3744 0.3744  -0.33